{
  "formula": "Be17Au6",
  "functional": "PBE",
  "state": "optimized geometry",
  "e_tot_ev_per_atom": -3.730,
  "crystal_system": "orthorhombic",
  "volume_a3_per_cell": 970.79,
  "lattice_angstrom": [[5.6112, -8.1445, 0.0000], [5.6112, 8.1445, 0.0000], [0.0000, 0.0000, 10.6211]],
  "species": ["Au", "Au", "Au", "Au", "Au", "Au", "Au", "Au", "Au", "Au", "Au", "Au", "Au", "Au", "Au", "Au", "Au", "Au", "Au", "Au", "Au", "Au", "Au", "Au", "Be", "Be", "Be", "Be", "Be", "Be", "Be", "Be", "Be", "Be", "Be", "Be", "Be", "Be", "Be", "Be", "Be", "Be", "Be", "Be", "Be", "Be", "Be", "Be", "Be", "Be", "Be", "Be", "Be", "Be", "Be", "Be", "Be", "Be", "Be", "Be", "Be", "Be", "Be", "Be", "Be", "Be", "Be", "Be", "Be", "Be", "Be", "Be", "Be", "Be", "Be", "Be", "Be", "Be", "Be", "Be", "Be", "Be", "Be", "Be", "Be", "Be", "Be", "Be", "Be", "Be", "Be", "Be"],
  "fractional_positions": [[0.4306, 0.1243, 0.0000], [0.8592, 0.2031, 0.0000], [0.1859, 0.2479, 0.0000], [0.8141, 0.7521, 0.0000], [0.1408, 0.7969, 0.0000], [0.5694, 0.8757, 0.0000], [0.0564, 0.3878, 0.2048], [0.9436, 0.6122, 0.2048], [0.2903, 0.2903, 0.2500], [0.7097, 0.7097, 0.2500], [0.3878, 0.0564, 0.2952], [0.6122, 0.9436, 0.2952], [0.7969, 0.1408, 0.5000], [0.2479, 0.1859, 0.5000], [0.1243, 0.4306, 0.5000], [0.8757, 0.5694, 0.5000], [0.7521, 0.8141, 0.5000], [0.2031, 0.8592, 0.5000], [0.3878, 0.0564, 0.7048], [0.6122, 0.9436, 0.7048], [0.2903, 0.2903, 0.7500], [0.7097, 0.7097, 0.7500], [0.0564, 0.3878, 0.7952], [0.9436, 0.6122, 0.7952], [0.0000, 0.0000, 0.0000], [0.6584, 0.3130, 0.0000], [0.4638, 0.3849, 0.0000], [0.8729, 0.4873, 0.0000], [0.1271, 0.5127, 0.0000], [0.5362, 0.6151, 0.0000], [0.3416, 0.6870, 0.0000], [0.3169, 0.4920, 0.1051], [0.6831, 0.5080, 0.1051], [0.1998, 0.0312, 0.1224], [0.8002, 0.9688, 0.1224], [0.6349, 0.1148, 0.1258], [0.3651, 0.8852, 0.1258], [0.7847, 0.3461, 0.1731], [0.2153, 0.6539, 0.1731], [0.0215, 0.1194, 0.1760], [0.9785, 0.8806, 0.1760], [0.5416, 0.2971, 0.1835], [0.4584, 0.7029, 0.1835], [0.8362, 0.1638, 0.2500], [0.5000, 0.5000, 0.2500], [0.1638, 0.8362, 0.2500], [0.7029, 0.4584, 0.3165], [0.2971, 0.5416, 0.3165], [0.1194, 0.0215, 0.3240], [0.8806, 0.9785, 0.3240], [0.6539, 0.2153, 0.3269], [0.3461, 0.7847, 0.3269], [0.8852, 0.3651, 0.3742], [0.1148, 0.6349, 0.3742], [0.0312, 0.1998, 0.3776], [0.9688, 0.8002, 0.3776], [0.4920, 0.3169, 0.3949], [0.5080, 0.6831, 0.3949], [0.0000, 0.0000, 0.5000], [0.5127, 0.1271, 0.5000], [0.6870, 0.3416, 0.5000], [0.3849, 0.4638, 0.5000], [0.6151, 0.5362, 0.5000], [0.3130, 0.6584, 0.5000], [0.4873, 0.8729, 0.5000], [0.4920, 0.3169, 0.6051], [0.5080, 0.6831, 0.6051], [0.0312, 0.1998, 0.6224], [0.9688, 0.8002, 0.6224], [0.8852, 0.3651, 0.6258], [0.1148, 0.6349, 0.6258], [0.6539, 0.2153, 0.6731], [0.3461, 0.7847, 0.6731], [0.1194, 0.0215, 0.6760], [0.8806, 0.9785, 0.6760], [0.7029, 0.4584, 0.6835], [0.2971, 0.5416, 0.6835], [0.8362, 0.1638, 0.7500], [0.5000, 0.5000, 0.7500], [0.1638, 0.8362, 0.7500], [0.5416, 0.2971, 0.8165], [0.4584, 0.7029, 0.8165], [0.0215, 0.1194, 0.8240], [0.9785, 0.8806, 0.8240], [0.7847, 0.3461, 0.8269], [0.2153, 0.6539, 0.8269], [0.6349, 0.1148, 0.8742], [0.3651, 0.8852, 0.8742], [0.1998, 0.0312, 0.8776], [0.8002, 0.9688, 0.8776], [0.3169, 0.4920, 0.8949], [0.6831, 0.5080, 0.8949]]
}

---

{
  "formula": "BeAu2",
  "functional": "PBE",
  "state": "optimized geometry",
  "e_tot_ev_per_atom": -3.564,
  "crystal_system": "tetragonal",
  "volume_a3_per_cell": 43.86,
  "lattice_angstrom": [[0.9025, 1.2641, -2.5012], [-2.6761, 1.1690, -0.3748], [2.3169, 2.8880, 4.0285]],
  "species": ["Au", "Au", "Be"],
  "fractional_positions": [[0.6415, 0.6415, 0.2831], [0.3585, 0.3585, 0.7169], [0.0000, 0.0000, 0.0000]]
}

---

{
  "formula": "BeAu",
  "functional": "PBE",
  "state": "optimized geometry",
  "e_tot_ev_per_atom": -3.527,
  "crystal_system": "hexagonal",
  "volume_a3_per_cell": 27.30,
  "lattice_angstrom": [[-1.5947, 2.5438, -0.5823], [-1.4609, -2.5938, 0.7008], [0.1134, 0.8189, 3.2671]],
  "species": ["Au", "Be"],
  "fractional_positions": [[0.6667, 0.3333, 0.7500], [0.3333, 0.6667, 0.2500]]
}

---

{
  "formula": "BeAu",
  "functional": "PBE",
  "state": "optimized geometry",
  "e_tot_ev_per_atom": -3.408,
  "crystal_system": "cubic",
  "volume_a3_per_cell": 28.65,
  "lattice_angstrom": [[0.0000, 2.4286, 2.4286], [2.4286, 0.0000, 2.4286], [2.4286, 2.4286, 0.0000]],
  "species": ["Au", "Be"],
  "fractional_positions": [[0.0000, 0.0000, 0.0000], [0.5000, 0.5000, 0.5000]]
}

---

Please write out number 4 again, unchanged.
{
  "formula": "BeAu",
  "functional": "PBE",
  "state": "optimized geometry",
  "e_tot_ev_per_atom": -3.408,
  "crystal_system": "cubic",
  "volume_a3_per_cell": 28.65,
  "lattice_angstrom": [[0.0000, 2.4286, 2.4286], [2.4286, 0.0000, 2.4286], [2.4286, 2.4286, 0.0000]],
  "species": ["Au", "Be"],
  "fractional_positions": [[0.0000, 0.0000, 0.0000], [0.5000, 0.5000, 0.5000]]
}

---

What did the second record say?
{
  "formula": "BeAu2",
  "functional": "PBE",
  "state": "optimized geometry",
  "e_tot_ev_per_atom": -3.564,
  "crystal_system": "tetragonal",
  "volume_a3_per_cell": 43.86,
  "lattice_angstrom": [[0.9025, 1.2641, -2.5012], [-2.6761, 1.1690, -0.3748], [2.3169, 2.8880, 4.0285]],
  "species": ["Au", "Au", "Be"],
  "fractional_positions": [[0.6415, 0.6415, 0.2831], [0.3585, 0.3585, 0.7169], [0.0000, 0.0000, 0.0000]]
}